1 | A plane-wave DFT calculation with PBE was carried out for an optimized crystal structure of ScB2Os.

Values from the calculation:
Fermi-level density of states, states/eV/cell: 4.051
Magnetization, μB/f.u.: 0.00

a b c (Å): 4.090 4.090 7.546
angles (deg): 74.28 74.28 90.00
Sites, in units of the cell vectors:
Sc: 0.500 0.500 0.000
Sc: 0.250 0.750 0.500
B: 0.875 0.125 0.250
B: 0.875 0.625 0.250
B: 0.375 0.125 0.750
B: 0.875 0.125 0.750
Os: 0.000 0.000 0.000
Os: 0.750 0.250 0.500


2 | A plane-wave DFT calculation with PBE was carried out for an optimized crystal structure of ScB2Os.

Values from the calculation:
Fermi-level density of states, states/eV/cell: 7.226
Magnetization, μB/f.u.: 0.00

a b c (Å): 5.203 5.665 6.185
angles (deg): 90.00 90.00 90.00
Sites, in units of the cell vectors:
Sc: 0.250 0.011 0.329
Sc: 0.250 0.511 0.171
Sc: 0.750 0.989 0.671
Sc: 0.750 0.489 0.829
B: 0.081 0.355 0.533
B: 0.419 0.855 0.967
B: 0.581 0.645 0.467
B: 0.919 0.145 0.033
B: 0.919 0.645 0.467
B: 0.581 0.145 0.033
B: 0.419 0.355 0.533
B: 0.081 0.855 0.967
Os: 0.250 0.178 0.821
Os: 0.250 0.678 0.679
Os: 0.750 0.822 0.179
Os: 0.750 0.322 0.321


Name the least stable of them. 1.


1 | A plane-wave DFT calculation with PBE was carried out for an optimized crystal structure of ScBOs.

Values from the calculation:
Fermi-level density of states, states/eV/cell: 5.028
Magnetization, μB/f.u.: 0.18

a b c (Å): 4.276 5.439 4.276
angles (deg): 71.28 79.43 108.72
Last column: magnetic moment on the atom in μB.
Sites, in units of the cell vectors:
B: 0.113 0.000 0.887  0.00
B: 0.786 0.000 0.214  0.00
Sc: 0.449 0.500 0.551  0.18
Sc: 0.949 0.500 0.051  0.18
Os: 0.243 0.000 0.345  -0.03
Os: 0.655 0.000 0.757  -0.03


2 | A plane-wave DFT calculation with PBE was carried out for an optimized crystal structure of ScBOs.

Values from the calculation:
Fermi-level density of states, states/eV/cell: 3.243
Magnetization, μB/f.u.: 0.00

a b c (Å): 3.147 5.346 5.754
angles (deg): 117.68 105.87 90.00
Sites, in units of the cell vectors:
Sc: 0.294 0.294 0.589
Sc: 0.706 0.706 0.411
B: 0.593 0.093 0.186
B: 0.407 0.907 0.814
Os: 0.000 0.254 0.000
Os: 0.000 0.746 0.000


Name the least stable of them. 1.


1 | A plane-wave DFT calculation with PBE was carried out for an optimized crystal structure of ScB3Os.

Values from the calculation:
Fermi-level density of states, states/eV/cell: 3.454
Magnetization, μB/f.u.: 0.23

a b c (Å): 3.953 3.953 3.953
angles (deg): 90.00 90.00 90.00
Last column: magnetic moment on the atom in μB.
Sites, in units of the cell vectors:
Sc: 0.000 0.000 0.000  0.00
B: 0.000 0.500 0.000  -0.01
B: 0.000 0.000 0.500  -0.01
B: 0.500 0.000 0.000  0.00
Os: 0.500 0.500 0.500  0.23


2 | A plane-wave DFT calculation with PBE was carried out for an optimized crystal structure of ScB3Os.

Values from the calculation:
Fermi-level density of states, states/eV/cell: 2.806
Magnetization, μB/f.u.: 0.00

a b c (Å): 4.041 4.041 4.041
angles (deg): 90.00 90.00 90.00
Sites, in units of the cell vectors:
Sc: 0.500 0.500 0.500
B: 0.000 0.500 0.000
B: 0.000 0.000 0.500
B: 0.500 0.000 0.000
Os: 0.000 0.000 0.000


Name the least stable of them. 1.


1 | A plane-wave DFT calculation with PBE was carried out for an optimized crystal structure of Sc2TlBOs.

Values from the calculation:
Fermi-level density of states, states/eV/cell: 3.353
Magnetization, μB/f.u.: 0.57

a b c (Å): 4.617 4.617 4.276
angles (deg): 90.00 90.00 90.00
Last column: magnetic moment on the atom in μB.
Sites, in units of the cell vectors:
Sc: 0.000 0.500 0.000  -0.04
Sc: 0.500 0.000 0.000  -0.04
Tl: 0.000 0.000 0.500  -0.01
B: 0.000 0.000 0.000  0.07
Os: 0.500 0.500 0.500  0.56


2 | A plane-wave DFT calculation with PBE was carried out for an optimized crystal structure of Sc2TlBOs.

Values from the calculation:
Fermi-level density of states, states/eV/cell: 2.006
Magnetization, μB/f.u.: 0.00

a b c (Å): 4.706 4.706 4.047
angles (deg): 90.00 90.00 90.00
Sites, in units of the cell vectors:
Sc: 0.000 0.500 0.000
Sc: 0.500 0.000 0.000
Tl: 0.500 0.500 0.500
B: 0.000 0.000 0.000
Os: 0.000 0.000 0.500


Name the least stable of them. 1.